1.
{
  "formula": "SmCuTe3",
  "functional": "PBE-GGA",
  "state": "optimized geometry",
  "lattice": [[-5.209, 0.793, -3.565], [-0.685, -10.592, -1.355], [-4.968, 1.643, 7.624]],
  "species": ["Sm", "Sm", "Sm", "Sm", "Cu", "Cu", "Cu", "Cu", "Te", "Te", "Te", "Te", "Te", "Te", "Te", "Te", "Te", "Te", "Te", "Te"],
  "frac_coords": [[0.774, 0.629, 0.178], [0.226, 0.371, 0.822], [0.274, 0.371, 0.322], [0.726, 0.629, 0.678], [0.274, 0.960, 0.580], [0.726, 0.040, 0.420], [0.774, 0.040, 0.920], [0.226, 0.960, 0.080], [0.065, 0.916, 0.325], [0.935, 0.084, 0.675], [0.565, 0.084, 0.175], [0.435, 0.916, 0.825], [0.586, 0.812, 0.469], [0.414, 0.188, 0.531], [0.086, 0.188, 0.031], [0.914, 0.812, 0.969], [0.227, 0.575, 0.632], [0.773, 0.425, 0.368], [0.727, 0.425, 0.868], [0.273, 0.575, 0.132]]
}

2.
{
  "formula": "Sm6CuTe5",
  "functional": "PBE-GGA",
  "state": "optimized geometry",
  "lattice": [[-7.609, 0.604, -0.077], [3.476, -3.356, 5.909], [1.847, 7.273, 1.390]],
  "species": ["Te", "Te", "Te", "Te", "Te", "Cu", "Sm", "Sm", "Sm", "Sm", "Sm", "Sm"],
  "frac_coords": [[0.822, 0.178, 0.500], [0.664, 0.336, 0.000], [0.500, 0.500, 0.500], [0.336, 0.664, 0.000], [0.178, 0.822, 0.500], [0.000, 0.000, 0.000], [0.385, 0.076, 0.231], [0.924, 0.615, 0.769], [0.228, 0.228, 0.758], [0.772, 0.772, 0.242], [0.076, 0.385, 0.231], [0.615, 0.924, 0.769]]
}

3.
{
  "formula": "SmCuTe2",
  "functional": "PBE-GGA",
  "state": "optimized geometry",
  "lattice": [[-3.382, 2.432, -2.020], [-3.570, 1.534, 2.517], [1.768, 8.291, 1.714]],
  "species": ["Te", "Te", "Cu", "Sm"],
  "frac_coords": [[0.099, 0.099, 0.704], [0.901, 0.901, 0.296], [0.000, 0.000, 0.000], [0.500, 0.500, 0.500]]
}

4.
{
  "formula": "SmCuTe2",
  "functional": "PBE-GGA",
  "state": "optimized geometry",
  "lattice": [[-1.907, -5.371, 4.227], [-3.547, -2.742, -6.156], [6.617, -3.962, -2.048]],
  "species": ["Sm", "Sm", "Sm", "Sm", "Cu", "Cu", "Cu", "Cu", "Te", "Te", "Te", "Te", "Te", "Te", "Te", "Te"],
  "frac_coords": [[0.802, 0.198, 0.960], [0.198, 0.302, 0.460], [0.198, 0.802, 0.040], [0.802, 0.698, 0.540], [0.435, 0.952, 0.651], [0.565, 0.048, 0.349], [0.565, 0.548, 0.151], [0.435, 0.452, 0.849], [0.077, 0.995, 0.718], [0.923, 0.505, 0.218], [0.923, 0.005, 0.282], [0.077, 0.495, 0.782], [0.395, 0.221, 0.112], [0.395, 0.721, 0.388], [0.605, 0.779, 0.888], [0.605, 0.279, 0.612]]
}

5.
{
  "formula": "Sm2CuTe3",
  "functional": "PBE-GGA",
  "state": "optimized geometry",
  "lattice": [[-2.118, -1.234, 3.310], [-1.352, -4.010, -2.360], [8.872, -1.556, 2.533]],
  "species": ["Sm", "Sm", "Cu", "Te", "Te", "Te"],
  "frac_coords": [[0.638, 0.638, 0.277], [0.362, 0.362, 0.723], [0.000, 0.000, 0.000], [0.000, 0.500, 0.000], [0.822, 0.822, 0.644], [0.178, 0.178, 0.356]],
  "e_above_lowest_polymorph_ev_per_atom": 0.126
}

6.
{
  "formula": "Sm2CuTe3",
  "functional": "PBE-GGA",
  "state": "optimized geometry",
  "lattice": [[4.309, 0.000, 0.000], [0.000, 12.001, 0.000], [0.000, 0.000, 13.083]],
  "species": ["Sm", "Sm", "Sm", "Sm", "Sm", "Sm", "Sm", "Sm", "Cu", "Cu", "Cu", "Cu", "Te", "Te", "Te", "Te", "Te", "Te", "Te", "Te", "Te", "Te", "Te", "Te"],
  "frac_coords": [[0.250, 0.684, 0.462], [0.750, 0.316, 0.538], [0.750, 0.184, 0.038], [0.250, 0.816, 0.962], [0.250, 0.971, 0.273], [0.750, 0.029, 0.727], [0.750, 0.471, 0.227], [0.250, 0.529, 0.773], [0.250, 0.218, 0.201], [0.750, 0.782, 0.799], [0.750, 0.718, 0.299], [0.250, 0.282, 0.701], [0.250, 0.376, 0.064], [0.750, 0.624, 0.936], [0.750, 0.876, 0.436], [0.250, 0.124, 0.564], [0.250, 0.677, 0.197], [0.750, 0.323, 0.803], [0.750, 0.177, 0.303], [0.250, 0.823, 0.697], [0.250, 0.432, 0.395], [0.750, 0.568, 0.605], [0.750, 0.932, 0.105], [0.250, 0.068, 0.895]],
  "e_above_lowest_polymorph_ev_per_atom": 0.000
}

no.,E_form (uncorrected) (eV per atom),density (g cm⁻³)
1,-0.616,6.50
2,-1.205,7.32
3,-0.746,5.10
4,-0.907,7.25
5,-0.967,7.06
6,-1.093,7.33